[1]
TlCd2In: optimized geometry, PBE-GGA.

Values from the calculation:
N(E_F)   1.275 states/eV/cell
Energy relative to the elements   0.07 eV per atom
Energy above the most stable polymorph in this dataset   42 meV/atom
Symmetry   Fm-3m

```
TlCd2In
1.0
0.0000 3.7681 3.7681
3.7681 0.0000 3.7681
3.7681 3.7681 0.0000
Tl Cd In
1 2 1
direct
0.0000 0.0000 0.0000
0.2500 0.2500 0.2500
0.7500 0.7500 0.7500
0.5000 0.5000 0.5000
```


[2]
TlCd2In4: optimized geometry, PBE-GGA.

Values from the calculation:
N(E_F)   2.513 states/eV/cell
Energy relative to the elements   0.05 eV per atom
Energy above the most stable polymorph in this dataset   15 meV/atom
Symmetry   Cmmm

```
TlCd2In4
1.0
2.2970 -9.3496 0.0000
2.2970 9.3496 0.0000
0.0000 0.0000 4.5563
Tl Cd In
1 2 4
direct
0.0000 0.0000 0.0000
0.4253 0.5747 0.5000
0.5747 0.4253 0.5000
0.1824 0.8176 0.5000
0.3134 0.6866 0.0000
0.6866 0.3134 0.0000
0.8176 0.1824 0.5000
```


[3]
Tl2CdIn: optimized geometry, PBE-GGA.

Values from the calculation:
N(E_F)   4.008 states/eV/cell
Energy relative to the elements   0.08 eV per atom
Energy above the most stable polymorph in this dataset   59 meV/atom
Symmetry   F-43m

```
Tl2CdIn
1.0
0.0000 3.8541 3.8541
3.8541 0.0000 3.8541
3.8541 3.8541 0.0000
Tl Cd In
2 1 1
direct
0.0000 0.0000 0.0000
0.2500 0.2500 0.2500
0.5000 0.5000 0.5000
0.7500 0.7500 0.7500
```